This record from Alexandria describes crystalline Ba3SrSc at its relaxed geometry. The functional is PBE.

```
Ba3SrSc
1.0
-4.744 -4.258 1.615
-0.950 -1.356 -6.364
4.454 -4.824 0.363
Ba Sr Sc
3 1 1
Cartesian
-2.372 -2.129 0.808
2.227 -2.412 0.182
-0.475 -0.678 -3.182
-0.620 -5.219 -2.193
0.000 0.000 0.000
```

D(E_F)   2.064 states/eV per atom
Relative energy among the computed polymorphs   0.000 eV/f.u.
Symmetry   No. 221
Size of the total moment   0.02 Bohr magnetons per cell
Formation energy   2.23 eV per formula unit